DFT (GGA-PBE) results for an optimized crystal structure of Ca5AgPb4.

## Properties
DFT formation energy	-497	meV per atom
DOS(E_F)	4.5	states/eV/cell

The structure in CIF format:
```
data_Ca5AgPb4
_symmetry_space_group_name_H-M 'P 4/m m m'
_symmetry_Int_Tables_number 123
_symmetry_space_group_name_Hall '-P 4 2'
_cell_length_a 3.662
_cell_length_b 3.662
_cell_length_c 21.681
_cell_angle_alpha 90.00
_cell_angle_beta 90.00
_cell_angle_gamma 90.00
loop_
_atom_site_label
_atom_site_type_symbol
_atom_site_fract_x
_atom_site_fract_y
_atom_site_fract_z
Ca1 Ca 0.000 0.000 0.000
Ca2 Ca 0.000 0.000 0.209
Ca3 Ca 0.000 0.000 0.413
Ag1 Ag 0.500 0.500 0.500
Pb1 Pb 0.500 0.500 0.104
Pb2 Pb 0.500 0.500 0.312
```


DFT (GGA-PBE) results for an optimized crystal structure of CaAgPb2.

## Properties
DFT formation energy	-120	meV per atom
DOS(E_F)	3.8	states/eV/cell

The structure in CIF format:
```
data_CaAgPb2
_symmetry_space_group_name_H-M 'C 1 2/m 1'
_symmetry_Int_Tables_number 12
_cell_length_a 6.607
_cell_length_b 10.678
_cell_length_c 3.622
_cell_angle_alpha 90.00
_cell_angle_beta 117.69
_cell_angle_gamma 90.00
loop_
_symmetry_equiv_pos_as_xyz
'x,y,z'
'-x,-y,-z'
'-x,y,-z'
'x,-y,z'
'x+1/2,y+1/2,z'
'-x+1/2,-y+1/2,-z'
'-x+1/2,y+1/2,-z'
'x+1/2,-y+1/2,z'
loop_
_atom_site_label
_atom_site_type_symbol
_atom_site_fract_x
_atom_site_fract_y
_atom_site_fract_z
Ca1 Ca 0.000 0.000 0.000
Ag1 Ag 0.000 0.500 0.000
Pb1 Pb 0.250 0.250 0.500
```


DFT (GGA-PBE) results for an optimized crystal structure of Ca2AgPb.

## Properties
DFT formation energy	-148	meV per atom
DOS(E_F)	13.4	states/eV/cell

The structure in CIF format:
```
data_Ca2AgPb
_symmetry_space_group_name_H-M 'I -4 2 d'
_symmetry_Int_Tables_number 122
_symmetry_space_group_name_Hall 'I -4 2bw'
_cell_length_a 8.420
_cell_length_b 8.420
_cell_length_c 6.953
_cell_angle_alpha 90.00
_cell_angle_beta 90.00
_cell_angle_gamma 90.00
loop_
_atom_site_label
_atom_site_type_symbol
_atom_site_fract_x
_atom_site_fract_y
_atom_site_fract_z
Ca1 Ca 0.229 0.750 0.125
Ag1 Ag 0.000 0.000 0.000
Pb1 Pb 0.000 0.000 0.500
```